Entry from Alexandria via LeMat-Bulk: a relaxed structure of VMo2 (PBE).

Cell and atoms, written as POSCAR:
```
VMo2
1.0
4.379 0.000 0.000
-2.189 3.792 0.000
0.000 0.000 2.717
V Mo
1 2
direct
0.000 0.000 0.000
0.333 0.667 0.664
0.667 0.333 0.336
```

calculated density = 8.9 Mg/m³
energy = -31.13 eV per cell
energy of formation from the pure elements = -0.117 eV/atom
density of states at the Fermi level = 0.627 states/eV per atom
total moment = 0.00 Bohr magnetons per cell



Entry from Alexandria via LeMat-Bulk: a relaxed structure of VMo2 (PBE).

Cell and atoms, written as POSCAR:
```
VMo2
1.0
13.155 0.000 0.000
0.000 3.112 0.000
-0.011 0.000 4.397
V Mo
4 8
direct
0.082 0.000 0.250
0.418 0.500 0.750
0.582 0.500 0.250
0.918 0.000 0.750
0.082 0.500 0.750
0.250 0.000 0.750
0.250 0.500 0.250
0.418 0.000 0.250
0.582 0.000 0.750
0.750 0.000 0.250
0.750 0.500 0.750
0.918 0.500 0.250
```

calculated density = 9.0 Mg/m³
energy = -124.68 eV per cell
energy of formation from the pure elements = -0.129 eV/atom
density of states at the Fermi level = 0.602 states/eV per atom
total moment = 0.00 Bohr magnetons per cell



Entry from Alexandria via LeMat-Bulk: a relaxed structure of VMo (PBE).

Cell and atoms, written as POSCAR:
```
VMo
1.0
7.578 0.000 0.000
0.000 7.578 0.000
0.000 0.000 4.476
V Mo
8 8
direct
0.011 0.327 0.000
0.173 0.511 0.500
0.327 0.989 0.000
0.489 0.173 0.500
0.511 0.827 0.500
0.673 0.011 0.000
0.827 0.489 0.500
0.989 0.673 0.000
0.155 0.181 0.500
0.181 0.845 0.500
0.319 0.655 0.000
0.345 0.319 0.000
0.655 0.681 0.000
0.681 0.345 0.000
0.819 0.155 0.500
0.845 0.819 0.500
```

calculated density = 7.6 Mg/m³
energy = -153.20 eV per cell
energy of formation from the pure elements = 0.400 eV/atom
density of states at the Fermi level = 1.132 states/eV per atom
total moment = 0.00 Bohr magnetons per cell



Entry from Alexandria via LeMat-Bulk: a relaxed structure of VMo (PBE).

Cell and atoms, written as POSCAR:
```
VMo
1.0
3.080 0.000 0.000
0.000 3.080 0.000
0.000 0.000 6.146
V Mo
2 2
direct
0.250 0.250 0.121
0.750 0.750 0.879
0.250 0.250 0.630
0.750 0.750 0.370
```

calculated density = 8.4 Mg/m³
energy = -40.37 eV per cell
energy of formation from the pure elements = -0.118 eV/atom
density of states at the Fermi level = 0.683 states/eV per atom
total moment = 0.00 Bohr magnetons per cell



Entry from Alexandria via LeMat-Bulk: a relaxed structure of VMo2 (PBE).

Cell and atoms, written as POSCAR:
```
VMo2
1.0
3.109 0.000 0.000
0.000 3.109 0.000
0.000 0.000 9.300
V Mo
2 4
direct
0.000 0.000 0.000
0.500 0.500 0.500
0.000 0.000 0.335
0.000 0.000 0.665
0.500 0.500 0.165
0.500 0.500 0.835
```

calculated density = 9.0 Mg/m³
energy = -62.39 eV per cell
energy of formation from the pure elements = -0.138 eV/atom
density of states at the Fermi level = 0.420 states/eV per atom
total moment = 0.00 Bohr magnetons per cell



Entry from Alexandria via LeMat-Bulk: a relaxed structure of VMo2 (PBE).

Cell and atoms, written as POSCAR:
```
VMo2
1.0
2.733 0.000 0.000
0.000 4.381 0.000
-0.036 0.000 7.546
V Mo
2 4
direct
0.172 0.250 0.419
0.828 0.750 0.581
0.167 0.750 0.913
0.498 0.250 0.742
0.502 0.750 0.258
0.833 0.250 0.087
```

calculated density = 8.9 Mg/m³
energy = -62.14 eV per cell
energy of formation from the pure elements = -0.096 eV/atom
density of states at the Fermi level = 0.653 states/eV per atom
total moment = 0.00 Bohr magnetons per cell